Entry 1:
BaPd3Pt2: optimized geometry, PBE.

a = 6.9451 Å, b = 6.9451 Å, c = 5.3477 Å
α = 90.00°, β = 90.00°, γ = 81.53°
Closest atoms and distances in Å follow each position.
Positions (direct):
Ba 0.1887 0.8113 0.7500  7 Pd 3.18-3.46
Ba 0.8113 0.1887 0.2500  7 Pd 3.18-3.46
Pd 0.0391 0.5543 0.2500  4 Pt 2.68-2.70, 3 Pd 2.85
Pd 0.4457 0.9609 0.2500  4 Pt 2.68-2.70, 3 Pd 2.85
Pd 0.4500 0.5500 0.2500  4 Pt 2.76, 4 Pd 2.82-2.85
Pd 0.5500 0.4500 0.7500  4 Pt 2.76, 4 Pd 2.82-2.85
Pd 0.5543 0.0391 0.7500  4 Pt 2.68-2.70, 3 Pd 2.85
Pd 0.9609 0.4457 0.7500  4 Pt 2.68-2.70, 3 Pd 2.85
Pt 0.2745 0.2745 0.0000  2 Pt 2.67, 6 Pd 2.68-2.76
Pt 0.2745 0.2745 0.5000  2 Pt 2.67, 6 Pd 2.68-2.76
Pt 0.7255 0.7255 0.0000  2 Pt 2.67, 6 Pd 2.68-2.76
Pt 0.7255 0.7255 0.5000  2 Pt 2.67, 6 Pd 2.68-2.76

Summary:
- calculated formation energy (eV per formula unit) = -2.10
- DOS at the Fermi energy (states/eV/cell) = 11.00

***

Entry 2:
Ba2Pd2Pt: optimized geometry, PBE.

a = 3.8897 Å, b = 3.8897 Å, c = 18.0229 Å
α = 90.00°, β = 90.00°, γ = 90.00°
Closest atoms and distances in Å follow each position.
Positions (direct):
Ba 0.0000 0.0000 0.1051  4 Pd 3.26, 4 Pt 3.34
Ba 0.0000 0.0000 0.8949  4 Pd 3.26, 4 Pt 3.34
Ba 0.5000 0.5000 0.3949  4 Pd 3.26, 4 Pt 3.34
Ba 0.5000 0.5000 0.6051  4 Pd 3.26, 4 Pt 3.34
Pd 0.0000 0.5000 0.2500  4 Pd 2.75
Pd 0.0000 0.5000 0.7500  4 Pd 2.75
Pd 0.5000 0.0000 0.2500  4 Pd 2.75
Pd 0.5000 0.0000 0.7500  4 Pd 2.75
Pt 0.0000 0.0000 0.5000  8 Ba 3.34
Pt 0.5000 0.5000 0.0000  8 Ba 3.34

Summary:
- calculated formation energy (eV per formula unit) = -2.23
- offset from the most stable computed form (eV per formula unit) = 0.77
- DOS at the Fermi energy (states/eV/cell) = 3.33

***

Entry 3:
Ba3PdPt: optimized geometry, PBE.

a = 4.5251 Å, b = 7.9062 Å, c = 11.8325 Å
α = 101.41°, β = 90.03°, γ = 106.62°
Closest atoms and distances in Å follow each position.
Positions (direct):
Ba 0.1110 0.2233 0.2345  2 Pt 3.18, 2 Pd 3.39
Ba 0.1308 0.2616 0.5878  1 Pt 3.16, 4 Pd 3.24-3.47
Ba 0.3607 0.7231 0.0989  3 Pt 3.14-3.20
Ba 0.6394 0.2769 0.9011  3 Pt 3.14-3.20
Ba 0.8692 0.7384 0.4122  1 Pt 3.16, 4 Pd 3.24-3.47
Ba 0.8890 0.7767 0.7655  2 Pt 3.18, 2 Pd 3.39
Pd 0.4832 0.9653 0.6126  1 Pd 2.82
Pd 0.5168 0.0347 0.3874  1 Pd 2.82
Pt 0.2624 0.5230 0.8331  6 Ba 3.14-3.20
Pt 0.7376 0.4770 0.1669  6 Ba 3.14-3.20

Summary:
- calculated formation energy (eV per formula unit) = -2.80
- offset from the most stable computed form (eV per formula unit) = 0.00
- DOS at the Fermi energy (states/eV/cell) = 5.03

***

Entry 4:
Ba12Pd6Pt: optimized geometry, PBE.

a = 9.4079 Å, b = 9.4079 Å, c = 9.4079 Å
α = 99.33°, β = 99.33°, γ = 99.33°
Closest atoms and distances in Å follow each position.
Positions (direct):
Ba 0.0472 0.6796 0.9133  1 Pt 3.11, 2 Pd 3.24-3.25
Ba 0.0867 0.9528 0.3204  1 Pt 3.11, 2 Pd 3.24-3.25
Ba 0.1789 0.4151 0.5808  4 Pd 3.16-3.47
Ba 0.3204 0.0867 0.9528  1 Pt 3.11, 2 Pd 3.24-3.25
Ba 0.4151 0.5808 0.1789  4 Pd 3.16-3.47
Ba 0.4192 0.8211 0.5849  4 Pd 3.16-3.47
Ba 0.5808 0.1789 0.4151  4 Pd 3.16-3.47
Ba 0.5849 0.4192 0.8211  4 Pd 3.16-3.47
Ba 0.6796 0.9133 0.0472  1 Pt 3.11, 2 Pd 3.24-3.25
Ba 0.8211 0.5849 0.4192  4 Pd 3.16-3.47
Ba 0.9133 0.0472 0.6796  1 Pt 3.11, 2 Pd 3.24-3.25
Ba 0.9528 0.3204 0.0867  1 Pt 3.11, 2 Pd 3.24-3.25
Pd 0.1329 0.6183 0.3114  6 Ba 3.16-3.47
Pd 0.3114 0.1329 0.6183  6 Ba 3.16-3.47
Pd 0.3817 0.6886 0.8671  6 Ba 3.16-3.47
Pd 0.6183 0.3114 0.1329  6 Ba 3.16-3.47
Pd 0.6886 0.8671 0.3817  6 Ba 3.16-3.47
Pd 0.8671 0.3817 0.6886  6 Ba 3.16-3.47
Pt 0.0000 0.0000 0.0000  6 Ba 3.11

Summary:
- calculated formation energy (eV per formula unit) = -8.36
- DOS at the Fermi energy (states/eV/cell) = 11.95

***

Entry 5:
Ba8Pd2Pt: optimized geometry, PBE.

a = 8.6466 Å, b = 8.6466 Å, c = 7.7871 Å
α = 104.21°, β = 104.21°, γ = 71.07°
Closest atoms and distances in Å follow each position.
Positions (direct):
Ba 0.0798 0.0798 0.2604  1 Pd 3.18
Ba 0.1484 0.5628 0.2428  1 Pt 3.17, 2 Pd 3.31-3.39
Ba 0.3634 0.3634 0.7493  1 Pt 3.12, 1 Pd 3.32
Ba 0.4372 0.8516 0.7572  1 Pt 3.17, 2 Pd 3.31-3.39
Ba 0.5628 0.1484 0.2428  1 Pt 3.17, 2 Pd 3.31-3.39
Ba 0.6366 0.6366 0.2507  1 Pt 3.12, 1 Pd 3.32
Ba 0.8516 0.4372 0.7572  1 Pt 3.17, 2 Pd 3.31-3.39
Ba 0.9202 0.9202 0.7396  1 Pd 3.18
Pd 0.1906 0.1906 0.9595  6 Ba 3.18-3.39
Pd 0.8094 0.8094 0.0405  6 Ba 3.18-3.39
Pt 0.5000 0.5000 0.5000  6 Ba 3.12-3.17

Summary:
- calculated formation energy (eV per formula unit) = -4.30
- DOS at the Fermi energy (states/eV/cell) = 6.93

***

Entry 6:
BaPd2Pt2: optimized geometry, PBE.

a = 4.5315 Å, b = 4.5315 Å, c = 10.7228 Å
α = 90.00°, β = 90.00°, γ = 90.00°
Closest atoms and distances in Å follow each position.
Positions (direct):
Ba 0.0000 0.0000 0.0000  8 Pt 3.44, 8 Pd 3.51
Ba 0.5000 0.5000 0.5000  8 Pt 3.44, 8 Pd 3.51
Pd 0.0000 0.5000 0.2500  4 Pt 2.67
Pd 0.0000 0.5000 0.7500  4 Pt 2.67
Pd 0.5000 0.0000 0.2500  4 Pt 2.67
Pd 0.5000 0.0000 0.7500  4 Pt 2.67
Pt 0.0000 0.0000 0.3825  1 Pt 2.52, 4 Pd 2.67
Pt 0.0000 0.0000 0.6175  1 Pt 2.52, 4 Pd 2.67
Pt 0.5000 0.5000 0.1175  1 Pt 2.52, 4 Pd 2.67
Pt 0.5000 0.5000 0.8825  1 Pt 2.52, 4 Pd 2.67

Summary:
- calculated formation energy (eV per formula unit) = -1.37
- offset from the most stable computed form (eV per formula unit) = 0.00
- DOS at the Fermi energy (states/eV/cell) = 11.82

***

Entry 7:
Ba9Pd2Pt4: optimized geometry, PBE.

a = 7.9313 Å, b = 7.9313 Å, c = 22.3480 Å
α = 90.00°, β = 90.00°, γ = 120.00°
Closest atoms and distances in Å follow each position.
Positions (direct):
Ba 0.0000 0.3214 0.2500  2 Pt 3.18, 2 Pd 3.25
Ba 0.0000 0.6786 0.7500  2 Pt 3.18, 2 Pd 3.25
Ba 0.0179 0.3566 0.5831  3 Pt 3.18-3.21, 1 Pd 3.25
Ba 0.0179 0.6612 0.0831  3 Pt 3.18-3.21, 1 Pd 3.25
Ba 0.3214 0.0000 0.2500  2 Pt 3.18, 2 Pd 3.25
Ba 0.3214 0.3214 0.7500  2 Pt 3.18, 2 Pd 3.25
Ba 0.3388 0.3566 0.0831  3 Pt 3.18-3.21, 1 Pd 3.25
Ba 0.3388 0.9821 0.5831  3 Pt 3.18-3.21, 1 Pd 3.25
Ba 0.3566 0.0179 0.9169  3 Pt 3.18-3.21, 1 Pd 3.25
Ba 0.3566 0.3388 0.4169  3 Pt 3.18-3.21, 1 Pd 3.25
Ba 0.6434 0.6612 0.5831  3 Pt 3.18-3.21, 1 Pd 3.25
Ba 0.6434 0.9821 0.0831  3 Pt 3.18-3.21, 1 Pd 3.25
Ba 0.6612 0.0179 0.4169  3 Pt 3.18-3.21, 1 Pd 3.25
Ba 0.6612 0.6434 0.9169  3 Pt 3.18-3.21, 1 Pd 3.25
Ba 0.6786 0.0000 0.7500  2 Pt 3.18, 2 Pd 3.25
Ba 0.6786 0.6786 0.2500  2 Pt 3.18, 2 Pd 3.25
Ba 0.9821 0.3388 0.9169  3 Pt 3.18-3.21, 1 Pd 3.25
Ba 0.9821 0.6434 0.4169  3 Pt 3.18-3.21, 1 Pd 3.25
Pd 0.0000 0.0000 0.1596  6 Ba 3.25
Pd 0.0000 0.0000 0.3404  6 Ba 3.25
Pd 0.0000 0.0000 0.6596  6 Ba 3.25
Pd 0.0000 0.0000 0.8404  6 Ba 3.25
Pt 0.3333 0.6667 0.1741  6 Ba 3.18-3.21
Pt 0.3333 0.6667 0.4927  6 Ba 3.18-3.20
Pt 0.3333 0.6667 0.6741  6 Ba 3.18-3.21
Pt 0.3333 0.6667 0.9927  6 Ba 3.18-3.20
Pt 0.6667 0.3333 0.0073  6 Ba 3.18-3.20
Pt 0.6667 0.3333 0.3259  6 Ba 3.18-3.21
Pt 0.6667 0.3333 0.5073  6 Ba 3.18-3.20
Pt 0.6667 0.3333 0.8259  6 Ba 3.18-3.21

Summary:
- calculated formation energy (eV per formula unit) = -8.71
- DOS at the Fermi energy (states/eV/cell) = 20.29

***

Entry 8:
Ba3PdPt: optimized geometry, PBE.

a = 6.0640 Å, b = 6.0640 Å, c = 6.0640 Å
α = 90.00°, β = 90.00°, γ = 90.00°
Closest atoms and distances in Å follow each position.
Positions (direct):
Ba 0.0000 0.0000 0.5000  2 Pt 3.03
Ba 0.0000 0.5000 0.0000  2 Pt 3.03
Ba 0.5000 0.0000 0.0000  2 Pt 3.03
Pd 0.5000 0.5000 0.5000  12 Ba 4.29
Pt 0.0000 0.0000 0.0000  6 Ba 3.03

Summary:
- calculated formation energy (eV per formula unit) = -1.20
- offset from the most stable computed form (eV per formula unit) = 1.60
- DOS at the Fermi energy (states/eV/cell) = 3.62

***

Entry 9:
BaPdPt4: optimized geometry, PBE.

a = 5.4858 Å, b = 5.4858 Å, c = 5.4858 Å
α = 60.00°, β = 60.00°, γ = 60.00°
Closest atoms and distances in Å follow each position.
Positions (direct):
Ba 0.0000 0.0000 0.0000  12 Pt 3.22, 4 Pd 3.36
Pd 0.7500 0.7500 0.7500  12 Pt 3.21, 4 Ba 3.36
Pt 0.3756 0.3756 0.3756  6 Pt 2.73-2.76
Pt 0.3756 0.3756 0.8731  6 Pt 2.73-2.76
Pt 0.3756 0.8731 0.3756  6 Pt 2.73-2.76
Pt 0.8731 0.3756 0.3756  6 Pt 2.73-2.76

Summary:
- calculated formation energy (eV per formula unit) = -1.58
- DOS at the Fermi energy (states/eV/cell) = 5.68

***

Entry 10:
Ba2Pd2Pt: optimized geometry, PBE.

a = 7.5540 Å, b = 7.5540 Å, c = 4.5858 Å
α = 90.00°, β = 90.00°, γ = 90.00°
Closest atoms and distances in Å follow each position.
Positions (direct):
Ba 0.1818 0.3182 0.0000  6 Pd 3.04-3.31
Ba 0.3182 0.8182 0.0000  6 Pd 3.04-3.31
Ba 0.6818 0.1818 0.0000  6 Pd 3.04-3.31
Ba 0.8182 0.6818 0.0000  6 Pd 3.04-3.31
Pd 0.1309 0.6309 0.5000  1 Pd 2.80, 2 Pt 2.96, 2 Ba 3.04
Pd 0.3691 0.1309 0.5000  1 Pd 2.80, 2 Pt 2.96, 2 Ba 3.04
Pd 0.6309 0.8691 0.5000  1 Pd 2.80, 2 Pt 2.96, 2 Ba 3.04
Pd 0.8691 0.3691 0.5000  1 Pd 2.80, 2 Pt 2.96, 2 Ba 3.04
Pt 0.0000 0.0000 0.5000  4 Pd 2.96
Pt 0.5000 0.5000 0.5000  4 Pd 2.96

Summary:
- calculated formation energy (eV per formula unit) = -2.29
- offset from the most stable computed form (eV per formula unit) = 0.71
- DOS at the Fermi energy (states/eV/cell) = 2.03